Entry 1:
# Ba3CeNi2O9

An optimized crystal structure of Ba3CeNi2O9 (GGA+U, Alexandria).

Calculated values
ρ in Mg/m³: 6.33
Electronic total energy in eV/cell: -90.86
Fermi-level density of states in states/eV/cell: 7.06

```
data_Ba3CeNi2O9
_cell_length_a 5.8460
_cell_length_b 5.8460
_cell_length_c 7.2148
_cell_angle_alpha 90.00
_cell_angle_beta 90.00
_cell_angle_gamma 120.00
_space_group_name_H-M_alt 'P -3 m 1'
_space_group_IT_number 164
_space_group_name_Hall '-P 3 2"'
loop_
_atom_site_label
_atom_site_type_symbol
_atom_site_fract_x
_atom_site_fract_y
_atom_site_fract_z
Ba1 Ba 0.0000 0.0000 0.0000
Ba2 Ba 0.3333 0.6667 0.6860
Ce1 Ce 0.0000 0.0000 0.5000
Ni1 Ni 0.3333 0.6667 0.1633
O1 O 0.0000 0.5000 0.0000
O2 O 0.1744 0.3487 0.3198
```

=====

Entry 2:
# Ba2CeNiO6

An optimized crystal structure of Ba2CeNiO6 (GGA+U, Alexandria).

Calculated values
ρ in Mg/m³: 6.11
Electronic total energy in eV/cell: -64.38
Fermi-level density of states in states/eV/cell: 6.79

```
data_Ba2CeNiO6
_cell_length_a 4.302
_cell_length_b 4.302
_cell_length_c 8.368
_cell_angle_alpha 90.00
_cell_angle_beta 90.00
_cell_angle_gamma 90.00
_space_group_name_H-M_alt 'P 4/m m m'
_space_group_IT_number 123
_space_group_name_Hall '-P 4 2'
loop_
_atom_site_label
_atom_site_type_symbol
_atom_site_fract_x
_atom_site_fract_y
_atom_site_fract_z
Ba1 Ba 0.000 0.000 0.220
Ce1 Ce 0.500 0.500 0.500
Ni1 Ni 0.500 0.500 0.000
O1 O 0.000 0.500 0.000
O2 O 0.000 0.500 0.500
O3 O 0.500 0.500 0.227
```

=====

no.,V (Å³/atom)
1,14.24
2,15.48